Below is a PBEsol-optimized structure of LaBe2Pt, with properties calculated at the SCAN level.

Results
formation energy = -0.7623 eV per atom

```
data_LaBe2Pt
_symmetry_space_group_name_H-M 'R -3 m'
_symmetry_Int_Tables_number 166
_symmetry_space_group_name_Hall '-R 3 2"'
_cell_length_a 3.9186
_cell_length_b 3.9186
_cell_length_c 15.3645
_cell_angle_alpha 90.00
_cell_angle_beta 90.00
_cell_angle_gamma 120.00
loop_
_atom_site_label
_atom_site_type_symbol
_atom_site_fract_x
_atom_site_fract_y
_atom_site_fract_z
La1 La 0.0000 0.0000 0.0000
Be1 Be 0.0000 0.0000 0.1923
Pt1 Pt 0.0000 0.0000 0.5000
```


Below is a PBEsol-optimized structure of V4NiS8, with properties calculated at the SCAN level.

Results
E_form (uncorrected) = -949 meV/atom

```
data_V4NiS8
_symmetry_space_group_name_H-M 'C 1 2/m 1'
_symmetry_Int_Tables_number 12
_cell_length_a 10.885
_cell_length_b 6.456
_cell_length_c 7.651
_cell_angle_alpha 90.00
_cell_angle_beta 134.08
_cell_angle_gamma 90.00
loop_
_symmetry_equiv_pos_as_xyz
'x,y,z'
'-x,-y,-z'
'-x,y,-z'
'x,-y,z'
'x+1/2,y+1/2,z'
'-x+1/2,-y+1/2,-z'
'-x+1/2,y+1/2,-z'
'x+1/2,-y+1/2,z'
loop_
_atom_site_label
_atom_site_type_symbol
_atom_site_fract_x
_atom_site_fract_y
_atom_site_fract_z
V1 V 0.000 0.212 0.000
V2 V 0.234 0.000 0.480
Ni1 Ni 0.000 0.500 0.500
S1 S 0.033 0.500 0.836
S2 S 0.057 0.000 0.826
S3 S 0.206 0.249 0.675
```


Below is a PBEsol-optimized structure of TlTe2Ir, with properties calculated at the SCAN level.

Results
energy relative to the lowest polymorph listed for this composition = 1.485 eV per formula unit
E_form (uncorrected) = 103 meV/atom

```
data_TlTe2Ir
_symmetry_space_group_name_H-M 'I m m m'
_symmetry_Int_Tables_number 71
_symmetry_space_group_name_Hall '-I 2 2'
_cell_length_a 3.549
_cell_length_b 5.544
_cell_length_c 10.513
_cell_angle_alpha 90.00
_cell_angle_beta 90.00
_cell_angle_gamma 90.00
loop_
_atom_site_label
_atom_site_type_symbol
_atom_site_fract_x
_atom_site_fract_y
_atom_site_fract_z
Tl1 Tl 0.000 0.000 0.000
Te1 Te 0.000 0.500 0.181
Ir1 Ir 0.000 0.000 0.500
```


Below is a PBEsol-optimized structure of GeBrO3, with properties calculated at the SCAN level.

Results
E_form (uncorrected) = 445 meV/atom

```
data_GeBrO3
_symmetry_space_group_name_H-M 'P m -3 m'
_symmetry_Int_Tables_number 221
_symmetry_space_group_name_Hall '-P 4 2 3'
_cell_length_a 4.010
_cell_length_b 4.010
_cell_length_c 4.010
_cell_angle_alpha 90.00
_cell_angle_beta 90.00
_cell_angle_gamma 90.00
loop_
_atom_site_label
_atom_site_type_symbol
_atom_site_fract_x
_atom_site_fract_y
_atom_site_fract_z
Ge1 Ge 0.000 0.000 0.000
Br1 Br 0.500 0.500 0.500
O1 O 0.000 0.500 0.500
```